Record 1
An optimized crystal structure of Pr3NdDy2Te6, computed with PBE.

Values from the calculation:
* formation energy (no corrections): -1386 meV per atom
* SG: C2/m

Unit cell a=10.011 b=10.011 c=9.025 alpha=103.56 beta=103.56 gamma=25.53
Sites, in units of the cell vectors:
Pr  0.000  0.000  0.000
Pr  0.338  0.338  0.667
Pr  0.662  0.662  0.333
Nd  0.000  0.000  0.500
Dy  0.335  0.335  0.169
Dy  0.665  0.665  0.831
Te  0.168  0.168  0.594
Te  0.171  0.171  0.075
Te  0.495  0.495  0.249
Te  0.505  0.505  0.751
Te  0.829  0.829  0.925
Te  0.832  0.832  0.406

Record 2
An optimized crystal structure of Pr4Nd3DyTe8, computed with PBE.

Values from the calculation:
* formation energy (no corrections): -1408 meV per atom
* SG: C2/m

Unit cell a=8.984 b=8.984 c=9.005 alpha=119.88 beta=119.88 gamma=60.04
Sites, in units of the cell vectors:
Pr  0.000  0.000  0.000
Pr  0.000  0.500  0.000
Pr  0.500  0.000  0.000
Pr  0.500  0.500  0.000
Nd  0.000  0.000  0.500
Nd  0.000  0.500  0.500
Nd  0.500  0.000  0.500
Dy  0.500  0.500  0.500
Te  0.249  0.249  0.747
Te  0.254  0.745  0.743
Te  0.255  0.255  0.257
Te  0.255  0.746  0.257
Te  0.745  0.254  0.743
Te  0.745  0.745  0.743
Te  0.746  0.255  0.257
Te  0.751  0.751  0.253

Record 3
An optimized crystal structure of PrNd2Dy3Te6, computed with PBE.

Values from the calculation:
* formation energy (no corrections): -1359 meV per atom
* SG: C2/m

Unit cell a=9.955 b=9.955 c=8.970 alpha=104.31 beta=104.31 gamma=25.43
Sites, in units of the cell vectors:
Pr  0.000  0.000  0.000
Nd  0.334  0.334  0.668
Nd  0.666  0.666  0.332
Dy  0.000  0.000  0.500
Dy  0.334  0.334  0.167
Dy  0.666  0.666  0.833
Te  0.164  0.164  0.590
Te  0.170  0.170  0.076
Te  0.497  0.497  0.259
Te  0.503  0.503  0.741
Te  0.830  0.830  0.924
Te  0.836  0.836  0.410

Record 4
An optimized crystal structure of Pr2NdDy3Te6, computed with PBE.

Values from the calculation:
* formation energy (no corrections): -1362 meV per atom
* SG: C2/m

Unit cell a=9.973 b=9.973 c=8.982 alpha=104.44 beta=104.44 gamma=25.41
Sites, in units of the cell vectors:
Pr  0.167  0.167  0.334
Pr  0.833  0.833  0.666
Nd  0.500  0.500  0.000
Dy  0.167  0.167  0.834
Dy  0.500  0.500  0.500
Dy  0.833  0.833  0.166
Te  0.004  0.004  0.744
Te  0.331  0.331  0.925
Te  0.337  0.337  0.408
Te  0.663  0.663  0.592
Te  0.669  0.669  0.075
Te  0.996  0.996  0.256

Record 5
An optimized crystal structure of Pr4NdDy3Te8, computed with PBE.

Values from the calculation:
* formation energy (no corrections): -1375 meV per atom
* SG: R-3m

Unit cell a=9.001 b=9.001 c=9.001 alpha=58.90 beta=58.90 gamma=58.90
Sites, in units of the cell vectors:
Pr  0.000  0.000  0.000
Pr  0.000  0.500  0.500
Pr  0.500  0.000  0.500
Pr  0.500  0.500  0.000
Nd  0.500  0.500  0.500
Dy  0.000  0.000  0.500
Dy  0.000  0.500  0.000
Dy  0.500  0.000  0.000
Te  0.240  0.749  0.749
Te  0.245  0.245  0.245
Te  0.251  0.251  0.760
Te  0.251  0.760  0.251
Te  0.749  0.240  0.749
Te  0.749  0.749  0.240
Te  0.755  0.755  0.755
Te  0.760  0.251  0.251

Record 6
An optimized crystal structure of PrNd3Dy2Te6, computed with PBE.

Values from the calculation:
* formation energy (no corrections): -1379 meV per atom
* SG: C2/m

Unit cell a=9.964 b=9.964 c=8.987 alpha=102.95 beta=102.95 gamma=25.63
Sites, in units of the cell vectors:
Pr  0.000  0.000  0.000
Nd  0.000  0.000  0.500
Nd  0.339  0.339  0.167
Nd  0.661  0.661  0.833
Dy  0.335  0.335  0.669
Dy  0.665  0.665  0.331
Te  0.170  0.170  0.094
Te  0.170  0.170  0.578
Te  0.495  0.495  0.746
Te  0.505  0.505  0.254
Te  0.830  0.830  0.422
Te  0.830  0.830  0.906

no.,electronic total energy (eV per atom),magnetization (μB/f.u.)
1,-5.316,0.0
2,-5.356,0.0
3,-5.273,0.0
4,-5.277,0.0
5,-5.302,0.0
6,-5.307,0.0